First-principles (PBE) data for an optimized crystal structure of AlCdTe2Ru, as listed in the Alexandria database.

```
AlCdTe2Ru
1.0
-0.737 2.329 -4.736
-4.508 0.637 1.015
1.153 4.738 2.150
Te Al Cd Ru
2 1 1 1
Cartesian
-0.369 1.165 -2.368
0.577 2.369 1.075
-2.254 0.318 0.507
-2.046 3.852 -0.785
0.000 0.000 0.000
```

Results
Calculated density, g cm⁻³: 6.2
Uncorrected formation energy, eV/atom: 0.24
N(E_F), states/eV/f.u.: 4.3
Space group: P4/mmm, No. 123


First-principles (PBE) data for an optimized crystal structure of LaLuOs, as listed in the Alexandria database.

```
LaLuOs
1.0
-1.403 0.526 -3.076
-3.112 0.013 1.422
2.712 6.393 1.759
Os Lu La
1 1 1
Cartesian
-2.100 2.580 -0.504
0.262 3.840 0.537
0.035 0.512 0.072
```

Results
Calculated density, g cm⁻³: 10.6
Calculated formation energy, eV/atom: -0.19
N(E_F), states/eV/f.u.: 1.5
Space group: I4mm, No. 107


First-principles (PBE) data for an optimized crystal structure of Na3BeAu, as listed in the Alexandria database.

```
Na3BeAu
1.0
5.509 0.000 0.000
0.000 5.509 0.000
0.000 0.000 5.509
Be Na Au
1 3 1
Cartesian
2.754 2.754 2.754
0.000 2.754 0.000
0.000 0.000 2.754
2.754 0.000 0.000
0.000 0.000 0.000
```

Results
Calculated density, g cm⁻³: 2.7
Calculated formation energy, eV/atom: 0.52
N(E_F), states/eV/f.u.: 3.0
Space group: Pm-3m, No. 221


First-principles (PBE) data for an optimized crystal structure of TaSbW2, as listed in the Alexandria database.

```
TaSbW2
1.0
-2.261 1.238 -2.274
-2.493 -1.858 1.468
-1.228 4.585 3.717
W Ta Sb
2 1 1
Cartesian
-0.621 2.320 1.881
-1.220 4.557 3.695
-3.298 3.129 2.385
-2.684 0.837 0.526
```

Results
Calculated density, g cm⁻³: 15.6
Uncorrected formation energy, eV/atom: 0.35
N(E_F), states/eV/f.u.: 4.3
Space group: P4/mmm, No. 123


First-principles (PBE) data for an optimized crystal structure of Zn2HgPb, as listed in the Alexandria database.

```
Zn2HgPb
1.0
3.346 0.159 0.000
-0.173 3.346 0.000
0.000 0.000 7.868
Zn Pb Hg
2 1 1
Cartesian
0.000 0.000 0.401
1.587 1.752 1.697
1.587 1.752 6.127
0.000 0.000 3.576
```

Results
Calculated density, g cm⁻³: 10.1
Calculated formation energy, eV/atom: 0.12
N(E_F), states/eV/f.u.: 1.4
Space group: Cmm2, No. 35


First-principles (PBE) data for an optimized crystal structure of Te2MoSeS, as listed in the Alexandria database.

```
Te2MoSeS
1.0
-4.268 -0.653 3.349
3.128 -0.825 3.824
0.053 5.350 1.111
S Te Se Mo
1 2 1 1
Cartesian
-0.544 1.936 4.142
0.026 2.675 0.555
-2.134 -0.327 1.675
0.000 0.000 0.000
1.564 -0.412 1.912
```

Results
Calculated density, g cm⁻³: 5.1
Uncorrected formation energy, eV/atom: 1.23
N(E_F), states/eV/f.u.: 5.6
Space group: P4/mmm, No. 123


First-principles (PBE) data for an optimized crystal structure of Tb3Pm2PrTm6, as listed in the Alexandria database.

```
Tb3Pm2PrTm6
1.0
-1.529 5.547 2.207
-4.313 -3.603 -2.527
-0.182 -5.325 10.399
Tm Pm Tb Pr
6 2 3 1
Cartesian
-4.435 0.114 2.388
-1.981 -2.383 1.758
-4.972 -4.051 6.741
-1.052 0.669 3.338
-4.044 -0.999 8.320
-1.590 -3.496 7.691
-3.385 -0.553 -0.949
-2.457 2.497 0.629
-3.012 -1.691 5.039
-3.940 -4.741 3.461
-2.084 1.359 6.617
0.000 0.000 0.000
```

Results
Calculated density, g cm⁻³: 8.4
Calculated formation energy, eV/atom: 0.02
N(E_F), states/eV/f.u.: 14.6
Space group: C2/m, No. 12


First-principles (PBE) data for an optimized crystal structure of Tb2Pm8Ho3, as listed in the Alexandria database.

```
Tb2Pm8Ho3
1.0
-10.492 4.978 -2.834
-0.336 -6.212 -0.517
-1.654 -1.451 5.861
Pm Ho Tb
8 3 2
Cartesian
-3.874 -0.028 2.802
-9.975 0.606 -0.982
-2.507 -3.290 3.492
-8.584 -1.902 3.235
-9.951 1.363 2.554
-2.531 -4.047 -0.044
-8.608 -2.656 -0.293
-3.898 -0.782 -0.726
-5.246 2.489 -1.417
-11.645 -1.594 1.342
-0.837 -1.090 1.167
-6.913 0.300 0.912
-5.569 -2.985 1.598
```

Results
Calculated density, g cm⁻³: 7.6
Calculated formation energy, eV/atom: 0.02
N(E_F), states/eV/f.u.: 19.0
Space group: P-1, No. 2


First-principles (PBE) data for an optimized crystal structure of ScMoAu2, as listed in the Alexandria database.

```
ScMoAu2
1.0
-0.063 -3.276 -1.068
0.073 -1.069 3.276
-6.103 0.066 0.157
Au Sc Mo
2 1 1
Cartesian
-6.075 0.066 0.157
-1.607 -2.155 1.146
-4.626 -2.122 1.223
-2.941 0.032 0.076
```

Results
Calculated density, g cm⁻³: 12.2
Calculated formation energy, eV/atom: -0.12
N(E_F), states/eV/f.u.: 3.3
Space group: P4mm, No. 99


First-principles (PBE) data for an optimized crystal structure of Sc11Zn9Ni4, as listed in the Alexandria database.

```
Sc11Zn9Ni4
1.0
3.254 0.000 0.000
0.000 10.966 -4.643
0.000 0.040 11.908
Sc Ni Zn
11 4 9
Cartesian
0.000 4.534 -1.050
0.000 0.816 4.582
0.000 0.000 0.000
0.000 3.323 2.194
0.000 4.084 5.783
0.000 7.683 5.072
0.000 1.824 9.206
0.000 9.182 -1.940
0.000 10.190 2.684
0.000 6.472 8.316
0.000 6.923 1.483
1.627 6.070 6.388
1.627 4.937 0.878
1.627 8.259 3.071
1.627 2.748 4.195
1.627 1.784 6.787
1.627 9.223 0.479
1.627 0.819 2.232
1.627 2.374 -0.124
1.627 6.942 -1.027
1.627 8.632 7.390
1.627 4.065 8.292
1.627 10.187 5.034
1.627 5.503 3.633
```

Results
Calculated density, g cm⁻³: 5.1
Calculated formation energy, eV/atom: -0.43
N(E_F), states/eV/f.u.: 20.9
Space group: Cmmm, No. 65


First-principles (PBE) data for an optimized crystal structure of Pm6Nd3Sm2, as listed in the Alexandria database.

```
Pm6Nd3Sm2
1.0
3.646 0.000 0.224
1.816 3.162 0.224
-0.188 -0.109 32.891
Nd Pm Sm
3 6 2
Cartesian
0.000 0.000 0.000
3.821 2.211 27.210
1.454 0.842 6.128
1.816 1.051 30.050
4.367 2.528 18.305
4.912 2.843 9.422
0.908 0.525 15.033
3.458 2.002 3.289
0.363 0.210 23.916
2.365 1.369 21.110
2.910 1.684 12.228
```

Results
Calculated density, g cm⁻³: 7.0
Calculated formation energy, eV/atom: 0.01
N(E_F), states/eV/f.u.: 14.7
Space group: R-3m, No. 166


First-principles (PBE) data for an optimized crystal structure of Hg2PSe4, as listed in the Alexandria database.

```
Hg2PSe4
1.0
6.570 0.000 0.000
0.000 6.570 0.000
-3.285 -3.285 5.330
Hg P Se
2 1 4
Cartesian
0.000 3.285 2.665
3.285 0.000 2.665
3.285 3.285 0.000
4.658 1.912 1.133
-1.373 -1.373 4.197
1.373 1.373 4.197
1.912 4.658 1.133
```

Results
Calculated density, g cm⁻³: 5.4
Uncorrected formation energy, eV/atom: -0.03
N(E_F), states/eV/f.u.: 3.1
Space group: I-42m, No. 121


First-principles (PBE) data for an optimized crystal structure of NaMgN2F, as listed in the Alexandria database.

```
NaMgN2F
1.0
-1.223 -2.983 -2.813
3.013 1.337 -2.728
2.581 -2.562 1.595
F Na N Mg
1 1 2 1
Cartesian
1.290 -1.281 0.797
2.185 -2.104 -1.973
1.507 0.668 -1.364
-0.612 -1.491 -1.407
0.000 0.000 0.000
```

Results
Calculated density, g cm⁻³: 2.2
Uncorrected formation energy, eV/atom: -0.01
N(E_F), states/eV/f.u.: 1.3
Space group: P4/mmm, No. 123


First-principles (PBE) data for an optimized crystal structure of Dy2ScRu3, as listed in the Alexandria database.

```
Dy2ScRu3
1.0
4.708 0.000 0.019
2.354 7.071 0.010
-0.026 0.000 6.700
Ru Sc Dy
6 2 4
Cartesian
2.337 0.000 5.080
4.702 2.397 1.626
4.689 2.397 5.113
2.335 4.674 5.103
2.346 0.000 1.640
2.348 4.674 1.616
4.708 4.673 0.019
2.354 2.398 0.010
2.341 2.358 3.360
-0.013 0.000 3.350
4.696 4.713 3.369
0.000 0.000 0.000
```

Results
Calculated density, g cm⁻³: 10.0
Calculated formation energy, eV/atom: -0.37
N(E_F), states/eV/f.u.: 6.9
Space group: Cmmm, No. 65


First-principles (PBE) data for an optimized crystal structure of Mn2SnSeN, as listed in the Alexandria database.

```
Mn2SnSeN
1.0
-4.393 1.577 0.652
-0.402 -3.132 4.865
1.675 3.639 2.482
Mn Sn N Se
2 1 1 1
Cartesian
0.838 1.820 1.241
-2.197 0.789 0.326
-0.201 -1.566 2.432
-1.560 1.042 4.000
0.000 0.000 0.000
```

Results
Calculated density, g cm⁻³: 4.1
Uncorrected formation energy, eV/atom: 1.53
N(E_F), states/eV/f.u.: 5.3
Space group: P4/mmm, No. 123


First-principles (PBE) data for an optimized crystal structure of LiCdNiAg, as listed in the Alexandria database.

```
LiCdNiAg
1.0
4.444 0.000 0.000
2.222 3.848 0.000
2.222 1.283 3.628
Ag Cd Ni Li
1 1 1 1
Cartesian
2.222 1.283 0.907
6.665 3.848 2.721
0.000 0.000 0.000
4.444 2.565 1.814
```

Results
Calculated density, g cm⁻³: 7.7
Calculated formation energy, eV/atom: -0.06
N(E_F), states/eV/f.u.: 3.5
Space group: F-43m, No. 216


First-principles (PBE) data for an optimized crystal structure of Ti3Cr9Si4, as listed in the Alexandria database.

```
Ti3Cr9Si4
1.0
-1.022 2.557 -3.729
-4.114 1.042 1.842
3.690 7.399 4.063
Cr Si Ti
9 4 3
Cartesian
-2.125 8.471 2.083
-3.940 4.825 0.081
-3.602 2.066 -0.477
0.332 5.235 0.618
-3.434 3.559 1.927
-1.619 7.204 3.931
-1.597 1.465 1.443
0.253 5.131 3.450
-1.767 5.766 1.557
-2.259 4.756 3.881
-4.091 1.060 1.848
-1.650 3.666 0.085
0.172 7.305 2.082
1.144 6.975 4.470
-1.536 1.545 -1.401
-0.658 3.311 2.451
```

Results
Calculated density, g cm⁻³: 6.1
Uncorrected formation energy, eV/atom: -0.39
N(E_F), states/eV/f.u.: 8.4
Space group: Pm, No. 6


First-principles (PBE) data for an optimized crystal structure of Rb2ReTeI6, as listed in the Alexandria database.

```
Rb2ReTeI6
1.0
-8.271 -0.224 2.742
-1.361 -7.217 -4.694
-3.192 -7.036 3.651
Te I Rb Re
1 6 2 1
Cartesian
-4.816 -3.721 -0.976
-7.463 -5.766 -1.512
-2.917 -5.643 -3.019
-2.169 -1.676 -0.439
-3.961 -5.466 1.460
-8.863 -9.011 0.239
-6.715 -1.799 1.068
-4.685 -8.987 -1.009
-8.139 -5.490 2.709
0.000 0.000 0.000
```

Results
Calculated density, g cm⁻³: 4.6
Uncorrected formation energy, eV/atom: -0.38
N(E_F), states/eV/f.u.: 4.6
Space group: I4/mmm, No. 139


First-principles (PBE) data for an optimized crystal structure of TcAgGe2, as listed in the Alexandria database.

```
TcAgGe2
1.0
1.163 -2.019 3.857
1.070 2.479 3.608
-2.780 0.139 3.544
Ge Ag Tc
2 1 1
Cartesian
-0.410 0.449 8.256
-0.137 0.150 2.752
-0.274 0.299 5.504
0.000 0.000 0.000
```

Results
Calculated density, g cm⁻³: 9.0
Calculated formation energy, eV/atom: 0.36
N(E_F), states/eV/f.u.: 1.4
Space group: Fm-3m, No. 225


First-principles (PBE) data for an optimized crystal structure of HgSeBr, as listed in the Alexandria database.

```
HgSeBr
1.0
-2.563 2.055 2.390
-0.120 -3.136 2.568
4.374 1.967 2.607
Hg Se Br
1 1 1
Cartesian
2.127 -0.584 2.588
0.905 2.011 2.499
-1.282 1.028 1.195
```

Results
Calculated density, g cm⁻³: 6.6
Uncorrected formation energy, eV/atom: -0.04
N(E_F), states/eV/f.u.: 1.8
Space group: P2/m, No. 10